(1)
Material: ErNiAgHg
Method: DFT, PBE-GGA
State: optimized geometry

a = 4.760 Å, b = 4.760 Å, c = 4.760 Å
α = 60.00°, β = 60.00°, γ = 60.00°
Fractional positions:
Er1 0.000 0.000 0.000
Ni1 0.250 0.250 0.250
Ag1 0.750 0.750 0.750
Hg1 0.500 0.500 0.500

Values from the calculation:
Final energy ... -14.3 eV per cell
Symmetry ... F-43m (216)

=====

(2)
Material: KZrAg4
Method: DFT, PBE-GGA
State: optimized geometry

a = 5.703 Å, b = 5.703 Å, c = 5.703 Å
α = 60.00°, β = 60.00°, γ = 60.00°
Fractional positions:
K1 0.000 0.000 0.000
Zr1 0.750 0.750 0.750
Ag1 0.375 0.375 0.375
Ag2 0.375 0.375 0.874
Ag3 0.375 0.874 0.375
Ag4 0.874 0.375 0.375

Values from the calculation:
Final energy ... -19.1 eV per cell
Symmetry ... F-43m (216)

=====

(3)
Material: Zn12NiAg3
Method: DFT, PBE-GGA
State: optimized geometry

a = 3.938 Å, b = 3.938 Å, c = 15.482 Å
α = 90.00°, β = 90.00°, γ = 90.00°
Fractional positions:
Zn1 0.000 0.000 0.000
Zn2 0.000 0.000 0.244
Zn3 0.000 0.000 0.500
Zn4 0.000 0.000 0.756
Zn5 0.000 0.500 0.112
Zn6 0.000 0.500 0.370
Zn7 0.000 0.500 0.630
Zn8 0.000 0.500 0.888
Zn9 0.500 0.000 0.112
Zn10 0.500 0.000 0.370
Zn11 0.500 0.000 0.630
Zn12 0.500 0.000 0.888
Ni1 0.500 0.500 0.000
Ag1 0.500 0.500 0.241
Ag2 0.500 0.500 0.500
Ag3 0.500 0.500 0.759

Values from the calculation:
Final energy ... -30.0 eV per cell
Symmetry ... P4/mmm (123)

=====

(4)
Material: CrPAu2
Method: DFT, PBE-GGA
State: optimized geometry

a = 3.020 Å, b = 3.020 Å, c = 6.928 Å
α = 90.00°, β = 90.00°, γ = 90.00°
Fractional positions:
Cr1 0.000 0.000 0.000
P1 0.500 0.500 0.135
Au1 0.000 0.000 0.429
Au2 0.500 0.500 0.722

Values from the calculation:
Final energy ... -21.3 eV per cell
Symmetry ... P4mm (99)

=====

We obtain ΔH_f (0 K) values of -0.192, 0.331, -0.026, 0.062 eV/atom for the records listed above, in that order.